No. 1
Computed, not measured: an optimized crystal structure of BiPHNO at the PBE level of DFT.

a = 4.016 Å, b = 4.688 Å, c = 4.691 Å
α = 74.35°, β = 73.43°, γ = 83.72°
Atoms (fractional coordinates):
Bi 0.000 0.000 0.000
P 0.488 0.689 0.600
H 0.427 0.517 0.207
N 0.407 0.722 0.254
O 0.472 0.347 0.771

* M_tot: 0.0 μB/cell
* energy relative to the lowest polymorph listed for this composition: 112 meV per atom
* symmetry: No. 1

=====

No. 2
Computed, not measured: an optimized crystal structure of SrRe2Ru at the PBE level of DFT.

a = 6.105 Å, b = 6.105 Å, c = 6.105 Å
α = 101.66°, β = 101.66°, γ = 126.57°
Atoms (fractional coordinates):
Sr 0.000 0.000 0.000
Sr 0.750 0.250 0.500
Re 0.189 0.625 0.064
Re 0.375 0.439 0.564
Re 0.561 0.125 0.936
Re 0.875 0.811 0.436
Ru 0.250 0.750 0.500
Ru 0.500 0.500 0.000

* M_tot: 0.0 μB/cell
* energy relative to the lowest polymorph listed for this composition: 603 meV per atom
* symmetry: No. 122
* DFT formation energy: 1.196 eV/atom

=====

No. 3
Computed, not measured: an optimized crystal structure of Rb2PuInI6 at the PBE level of DFT.

a = 8.491 Å, b = 9.201 Å, c = 14.957 Å
α = 90.00°, β = 124.02°, γ = 90.00°
Atoms (fractional coordinates):
Rb 0.215 0.087 0.249
Rb 0.215 0.413 0.749
Rb 0.785 0.587 0.251
Rb 0.785 0.913 0.751
Pu 0.500 0.000 0.000
Pu 0.500 0.500 0.500
In 0.000 0.000 0.500
In 0.000 0.500 0.000
I 0.147 0.182 0.944
I 0.147 0.318 0.444
I 0.271 0.710 0.943
I 0.271 0.790 0.443
I 0.378 0.034 0.763
I 0.378 0.466 0.263
I 0.622 0.534 0.737
I 0.622 0.966 0.237
I 0.729 0.210 0.557
I 0.729 0.290 0.057
I 0.853 0.682 0.556
I 0.853 0.818 0.056

* M_tot: 10.0 μB/cell
* formation energy (no corrections): -1131 meV/atom
* symmetry: No. 14

=====

No. 4
Computed, not measured: an optimized crystal structure of TlIn2AuS4 at the PBE level of DFT.

a = 7.822 Å, b = 7.822 Å, c = 7.822 Å
α = 136.54°, β = 136.42°, γ = 63.25°
Atoms (fractional coordinates):
Tl 0.000 0.000 0.000
In 0.250 0.750 0.500
In 0.750 0.250 0.500
Au 0.500 0.500 0.000
S 0.142 0.575 0.000
S 0.425 0.425 0.567
S 0.575 0.142 0.000
S 0.858 0.858 0.433

* M_tot: 0.0 μB/cell
* formation energy (no corrections): -331 meV/atom
* symmetry: No. 23

=====

No. 5
Computed, not measured: an optimized crystal structure of PmSmCdAg at the PBE level of DFT.

a = 5.335 Å, b = 5.335 Å, c = 5.335 Å
α = 60.00°, β = 60.00°, γ = 60.00°
Atoms (fractional coordinates):
Pm 0.000 0.000 0.000
Sm 0.500 0.500 0.500
Cd 0.250 0.250 0.250
Ag 0.750 0.750 0.750

* M_tot: 0.0 μB/cell
* energy relative to the lowest polymorph listed for this composition: 9 meV per atom
* symmetry: No. 216
* DFT formation energy: -0.284 eV/atom

=====

No. 6
Computed, not measured: an optimized crystal structure of CeTm2In4 at the PBE level of DFT.

a = 5.167 Å, b = 5.167 Å, c = 7.573 Å
α = 90.00°, β = 90.00°, γ = 90.00°
Atoms (fractional coordinates):
Ce 0.000 0.000 0.000
Tm 0.000 0.000 0.500
Tm 0.500 0.500 0.000
In 0.000 0.500 0.276
In 0.000 0.500 0.724
In 0.500 0.000 0.276
In 0.500 0.000 0.724

* M_tot: 1.3 μB/cell
* symmetry: No. 123
* DFT formation energy: -0.254 eV/atom

=====

No. 7
Computed, not measured: an optimized crystal structure of KH6N2F2 at the PBE level of DFT.

a = 4.584 Å, b = 4.584 Å, c = 6.561 Å
α = 106.13°, β = 106.13°, γ = 60.27°
Atoms (fractional coordinates):
K 0.000 0.000 0.000
H 0.133 0.518 0.334
H 0.324 0.324 0.564
H 0.482 0.867 0.666
H 0.518 0.133 0.334
H 0.676 0.676 0.436
H 0.867 0.482 0.666
N 0.352 0.352 0.421
N 0.648 0.648 0.579
F 0.262 0.262 0.810
F 0.738 0.738 0.190

* M_tot: 1.0 μB/cell
* symmetry: No. 12

=====

No. 8
Computed, not measured: an optimized crystal structure of Be5AlCu6 at the PBE level of DFT.

a = 6.135 Å, b = 6.135 Å, c = 5.531 Å
α = 90.00°, β = 90.00°, γ = 143.16°
Atoms (fractional coordinates):
Be 0.000 0.000 0.000
Be 0.335 0.665 0.500
Be 0.336 0.664 0.000
Be 0.664 0.336 0.000
Be 0.665 0.335 0.500
Al 0.000 0.000 0.500
Cu 0.174 0.826 0.242
Cu 0.174 0.826 0.758
Cu 0.500 0.500 0.233
Cu 0.500 0.500 0.767
Cu 0.826 0.174 0.242
Cu 0.826 0.174 0.758

* M_tot: 0.0 μB/cell
* symmetry: No. 65
* DFT formation energy: -0.112 eV/atom

=====

No. 9
Computed, not measured: an optimized crystal structure of Cs2CdPd2 at the PBE level of DFT.

a = 12.115 Å, b = 12.115 Å, c = 12.115 Å
α = 161.64°, β = 161.64°, γ = 26.08°
Atoms (fractional coordinates):
Cs 0.131 0.131 0.000
Cs 0.869 0.869 0.000
Cd 0.500 0.500 0.000
Pd 0.250 0.750 0.500
Pd 0.750 0.250 0.500

* M_tot: 0.0 μB/cell
* energy relative to the lowest polymorph listed for this composition: 106 meV per atom
* symmetry: No. 139
* DFT formation energy: 0.153 eV/atom

=====

No. 10
Computed, not measured: an optimized crystal structure of Na2SnIr2S6 at the PBE level of DFT.

a = 6.385 Å, b = 6.385 Å, c = 6.923 Å
α = 98.64°, β = 98.64°, γ = 120.78°
Atoms (fractional coordinates):
Na 0.163 0.837 0.000
Na 0.837 0.163 0.000
Sn 0.000 0.000 0.500
Ir 0.333 0.667 0.500
Ir 0.667 0.333 0.500
S 0.060 0.421 0.692
S 0.293 0.293 0.308
S 0.421 0.060 0.692
S 0.579 0.940 0.308
S 0.707 0.707 0.692
S 0.940 0.579 0.308

* M_tot: 0.0 μB/cell
* formation energy (no corrections): -679 meV/atom
* symmetry: No. 12

=====

No. 11
Computed, not measured: an optimized crystal structure of Sc4CdCu2Au at the PBE level of DFT.

a = 8.279 Å, b = 8.279 Å, c = 8.279 Å
α = 33.54°, β = 33.54°, γ = 33.54°
Atoms (fractional coordinates):
Sc 0.121 0.121 0.121
Sc 0.372 0.372 0.372
Sc 0.628 0.628 0.628
Sc 0.879 0.879 0.879
Cd 0.500 0.500 0.500
Cu 0.244 0.244 0.244
Cu 0.756 0.756 0.756
Au 0.000 0.000 0.000

* M_tot: 0.0 μB/cell
* symmetry: No. 166
* DFT formation energy: -0.388 eV/atom

=====

No. 12
Computed, not measured: an optimized crystal structure of RePCl2 at the PBE level of DFT.

a = 4.441 Å, b = 4.441 Å, c = 3.180 Å
α = 90.00°, β = 90.00°, γ = 90.00°
Atoms (fractional coordinates):
Re 0.000 0.000 0.000
P 0.500 0.500 0.000
Cl 0.000 0.500 0.500
Cl 0.500 0.000 0.500

* M_tot: 0.0 μB/cell
* formation energy (no corrections): 1398 meV/atom
* energy relative to the lowest polymorph listed for this composition: 1680 meV per atom
* symmetry: No. 123

=====

No. 13
Computed, not measured: an optimized crystal structure of KCu2ICl at the PBE level of DFT.

a = 5.773 Å, b = 5.773 Å, c = 5.280 Å
α = 90.00°, β = 90.00°, γ = 90.00°
Atoms (fractional coordinates):
K 0.000 0.000 0.000
Cu 0.000 0.500 0.000
Cu 0.500 0.000 0.000
I 0.500 0.500 0.500
Cl 0.000 0.000 0.500

* M_tot: 0.0 μB/cell
* formation energy (no corrections): 695 meV/atom
* symmetry: No. 123

=====

No. 14
Computed, not measured: an optimized crystal structure of ZrP2Se at the PBE level of DFT.

a = 5.182 Å, b = 5.182 Å, c = 5.182 Å
α = 140.28°, β = 125.62°, γ = 69.42°
Atoms (fractional coordinates):
Zr 0.000 0.000 0.000
P 0.330 0.830 0.500
P 0.502 0.502 0.000
Se 0.742 0.242 0.500

* M_tot: 0.0 μB/cell
* formation energy (no corrections): -448 meV/atom
* symmetry: No. 44

=====

No. 15
Computed, not measured: an optimized crystal structure of TbPr5Sm2 at the PBE level of DFT.

a = 7.336 Å, b = 14.691 Å, c = 5.203 Å
α = 90.00°, β = 90.00°, γ = 90.00°
Atoms (fractional coordinates):
Tb 0.000 0.000 0.000
Tb 0.500 0.500 0.000
Pr 0.000 0.249 0.000
Pr 0.000 0.500 0.000
Pr 0.000 0.751 0.000
Pr 0.249 0.124 0.500
Pr 0.251 0.624 0.500
Pr 0.500 0.000 0.000
Pr 0.500 0.251 0.000
Pr 0.500 0.749 0.000
Pr 0.749 0.376 0.500
Pr 0.751 0.876 0.500
Sm 0.249 0.876 0.500
Sm 0.251 0.376 0.500
Sm 0.749 0.624 0.500
Sm 0.751 0.124 0.500

* M_tot: 0.0 μB/cell
* energy relative to the lowest polymorph listed for this composition: 0 meV per atom
* symmetry: No. 55
* DFT formation energy: 0.015 eV/atom

=====

No. 16
Computed, not measured: an optimized crystal structure of PrSm2Rh3 at the PBE level of DFT.

a = 4.985 Å, b = 4.985 Å, c = 6.100 Å
α = 90.00°, β = 90.00°, γ = 120.00°
Atoms (fractional coordinates):
Pr 0.000 0.000 0.000
Sm 0.333 0.667 0.665
Sm 0.667 0.333 0.335
Rh 0.000 0.000 0.500
Rh 0.333 0.667 0.173
Rh 0.667 0.333 0.827

* M_tot: 0.0 μB/cell
* symmetry: No. 164
* DFT formation energy: -0.678 eV/atom

=====

No. 17
Computed, not measured: an optimized crystal structure of HgMo3 at the PBE level of DFT.

a = 4.579 Å, b = 4.579 Å, c = 4.579 Å
α = 60.00°, β = 60.00°, γ = 60.00°
Atoms (fractional coordinates):
Hg 0.000 0.000 0.000
Mo 0.250 0.250 0.250
Mo 0.500 0.500 0.500
Mo 0.750 0.750 0.750

* M_tot: 0.0 μB/cell
* energy relative to the lowest polymorph listed for this composition: 286 meV per atom
* symmetry: No. 225
* DFT formation energy: 0.606 eV/atom

=====

No. 18
Computed, not measured: an optimized crystal structure of IrOsPd2Br at the PBE level of DFT.

a = 4.571 Å, b = 4.571 Å, c = 4.624 Å
α = 90.00°, β = 90.00°, γ = 90.00°
Atoms (fractional coordinates):
Ir 0.000 0.000 0.000
Os 0.500 0.500 0.000
Pd 0.000 0.500 0.500
Pd 0.500 0.000 0.500
Br 0.500 0.500 0.500

* M_tot: 2.6 μB/cell
* formation energy (no corrections): 1792 meV/atom
* symmetry: No. 123

=====

No. 19
Computed, not measured: an optimized crystal structure of ZnNi8Sn2 at the PBE level of DFT.

a = 6.870 Å, b = 6.870 Å, c = 5.921 Å
α = 108.31°, β = 108.31°, γ = 32.30°
Atoms (fractional coordinates):
Zn 0.000 0.000 0.000
Ni 0.084 0.084 0.449
Ni 0.167 0.167 0.904
Ni 0.363 0.363 0.819
Ni 0.467 0.467 0.276
Ni 0.533 0.533 0.724
Ni 0.637 0.637 0.181
Ni 0.833 0.833 0.096
Ni 0.916 0.916 0.551
Sn 0.284 0.284 0.335
Sn 0.716 0.716 0.665

* M_tot: 0.0 μB/cell
* energy relative to the lowest polymorph listed for this composition: 26 meV per atom
* symmetry: No. 12
* DFT formation energy: -0.090 eV/atom

=====

No. 20
Computed, not measured: an optimized crystal structure of Ti3BeZn at the PBE level of DFT.

a = 8.883 Å, b = 8.883 Å, c = 4.169 Å
α = 90.00°, β = 90.00°, γ = 152.93°
Atoms (fractional coordinates):
Ti 0.055 0.945 0.750
Ti 0.250 0.750 0.750
Ti 0.445 0.555 0.750
Ti 0.555 0.445 0.250
Ti 0.750 0.250 0.250
Ti 0.945 0.055 0.250
Be 0.155 0.845 0.250
Be 0.845 0.155 0.750
Zn 0.347 0.653 0.250
Zn 0.653 0.347 0.750

* M_tot: 0.0 μB/cell
* energy relative to the lowest polymorph listed for this composition: 0 meV per atom
* symmetry: No. 63
* DFT formation energy: -0.094 eV/atom

=====

No. 21
Computed, not measured: an optimized crystal structure of CeTmThHg at the PBE level of DFT.

a = 5.403 Å, b = 5.403 Å, c = 5.403 Å
α = 60.00°, β = 60.00°, γ = 60.00°
Atoms (fractional coordinates):
Ce 0.000 0.000 0.000
Tm 0.500 0.500 0.500
Th 0.250 0.250 0.250
Hg 0.750 0.750 0.750

* M_tot: 0.0 μB/cell
* symmetry: No. 216
* DFT formation energy: 0.052 eV/atom

=====

No. 22
Computed, not measured: an optimized crystal structure of LaSb2TePd at the PBE level of DFT.

a = 6.068 Å, b = 6.068 Å, c = 6.020 Å
α = 90.00°, β = 90.00°, γ = 90.00°
Atoms (fractional coordinates):
La 0.000 0.000 0.000
Sb 0.000 0.500 0.000
Sb 0.500 0.000 0.000
Te 0.000 0.000 0.500
Pd 0.500 0.500 0.500

* M_tot: 0.0 μB/cell
* formation energy (no corrections): 708 meV/atom
* energy relative to the lowest polymorph listed for this composition: 1110 meV per atom
* symmetry: No. 123

=====

No. 23
Computed, not measured: an optimized crystal structure of Na2Cd2F5 at the PBE level of DFT.

a = 9.362 Å, b = 9.362 Å, c = 9.362 Å
α = 51.58°, β = 144.43°, γ = 143.91°
Atoms (fractional coordinates):
Na 0.039 0.134 0.174
Na 0.039 0.366 0.405
Na 0.961 0.634 0.595
Na 0.961 0.866 0.826
Cd 0.430 0.753 0.177
Cd 0.451 0.451 0.000
Cd 0.451 0.951 0.500
Cd 0.575 0.253 0.823
F 0.016 0.066 0.449
F 0.196 0.477 0.958
F 0.196 0.738 0.219
F 0.507 0.282 0.339
F 0.507 0.667 0.725
F 0.519 0.238 0.042
F 0.519 0.977 0.781
F 0.617 0.566 0.551
F 0.943 0.167 0.661
F 0.943 0.782 0.275

* M_tot: 0.0 μB/cell
* formation energy (no corrections): -2209 meV/atom
* symmetry: No. 46

=====

No. 24
Computed, not measured: an optimized crystal structure of DyTmMgCo at the PBE level of DFT.

a = 4.983 Å, b = 4.983 Å, c = 4.983 Å
α = 60.00°, β = 60.00°, γ = 60.00°
Atoms (fractional coordinates):
Dy 0.000 0.000 0.000
Tm 0.500 0.500 0.500
Mg 0.250 0.250 0.250
Co 0.750 0.750 0.750

* M_tot: 0.3 μB/cell
* energy relative to the lowest polymorph listed for this composition: 135 meV per atom
* symmetry: No. 216
* DFT formation energy: -0.022 eV/atom

=====

| no. | energy (eV/atom) |
| --- | --- |
| 1 | -5.567 |
| 2 | -7.767 |
| 3 | -3.961 |
| 4 | -3.785 |
| 5 | -3.593 |
| 6 | -3.944 |
| 7 | -4.676 |
| 8 | -4.024 |
| 9 | -2.449 |
| 10 | -5.145 |
| 11 | -5.102 |
| 12 | -3.990 |
| 13 | -1.842 |
| 14 | -6.161 |
| 15 | -4.731 |
| 16 | -6.723 |
| 17 | -7.593 |
| 18 | -4.638 |
| 19 | -5.138 |
| 20 | -5.831 |
| 21 | -4.480 |
| 22 | -3.594 |
| 23 | -3.745 |
| 24 | -4.466 |